[1]
A relaxed Tm8AlC4 crystal, computed with GGA-PBE.

Geometry as CIF:
```
data_Tm8AlC4
_chemical_formula_sum 'Tm8 Al1 C4'
_symmetry_space_group_name_H-M 'P 1'
_symmetry_Int_Tables_number 1
_cell_length_a 8.756
_cell_length_b 8.756
_cell_length_c 11.742
_cell_angle_alpha 130.72
_cell_angle_beta 130.72
_cell_angle_gamma 23.46
loop_
_symmetry_equiv_pos_as_xyz
'x,y,z'
loop_
_atom_site_label
_atom_site_type_symbol
_atom_site_fract_x
_atom_site_fract_y
_atom_site_fract_z
Tm1 Tm 0.042 0.042 0.235
Tm2 Tm 0.300 0.300 0.436
Tm3 Tm 0.339 0.339 0.164
Tm4 Tm 0.365 0.365 0.908
Tm5 Tm 0.635 0.635 0.092
Tm6 Tm 0.661 0.661 0.836
Tm7 Tm 0.700 0.700 0.564
Tm8 Tm 0.958 0.958 0.765
Al1 Al 0.000 0.000 0.500
C1 C 0.149 0.149 0.965
C2 C 0.333 0.333 0.671
C3 C 0.667 0.667 0.329
C4 C 0.851 0.851 0.035
```

=====

[2]
# GGA-PBE Ac4SiRh4, relaxed
# **ΔE_f (raw)**: -0.6574 eV/atom
data_Ac4SiRh4
_chemical_formula_sum 'Ac8 Si2 Rh8'
_symmetry_space_group_name_H-M 'P 1'
_symmetry_Int_Tables_number 1
_cell_length_a 8.728
_cell_length_b 8.728
_cell_length_c 6.340
_cell_angle_alpha 90.00
_cell_angle_beta 90.00
_cell_angle_gamma 90.00
loop_
_symmetry_equiv_pos_as_xyz
'x,y,z'
loop_
_atom_site_label
_atom_site_type_symbol
_atom_site_fract_x
_atom_site_fract_y
_atom_site_fract_z
Ac1 Ac 0.019 0.250 0.069
Ac2 Ac 0.250 0.019 0.569
Ac3 Ac 0.250 0.481 0.569
Ac4 Ac 0.481 0.250 0.069
Ac5 Ac 0.519 0.750 0.931
Ac6 Ac 0.750 0.519 0.431
Ac7 Ac 0.750 0.981 0.431
Ac8 Ac 0.981 0.750 0.931
Si1 Si 0.250 0.750 0.250
Si2 Si 0.750 0.250 0.750
Rh1 Rh 0.019 0.750 0.444
Rh2 Rh 0.250 0.519 0.056
Rh3 Rh 0.250 0.981 0.056
Rh4 Rh 0.481 0.750 0.444
Rh5 Rh 0.519 0.250 0.556
Rh6 Rh 0.750 0.019 0.944
Rh7 Rh 0.750 0.481 0.944
Rh8 Rh 0.981 0.250 0.556

=====

[3]
# GGA-PBE KLiTa, relaxed
# **ΔE to the lowest computed polymorph**: 0.0000 eV per atom
data_KLiTa
_chemical_formula_sum 'K4 Li4 Ta4'
_symmetry_space_group_name_H-M 'P 1'
_symmetry_Int_Tables_number 1
_cell_length_a 3.063
_cell_length_b 5.060
_cell_length_c 18.542
_cell_angle_alpha 90.00
_cell_angle_beta 90.00
_cell_angle_gamma 90.00
loop_
_symmetry_equiv_pos_as_xyz
'x,y,z'
loop_
_atom_site_label
_atom_site_type_symbol
_atom_site_fract_x
_atom_site_fract_y
_atom_site_fract_z
K1 K 0.000 0.000 0.000
K2 K 0.000 0.500 0.500
K3 K 0.500 0.000 0.500
K4 K 0.500 0.500 0.000
Li1 Li 0.000 0.000 0.311
Li2 Li 0.000 0.500 0.811
Li3 Li 0.500 0.000 0.811
Li4 Li 0.500 0.500 0.311
Ta1 Ta 0.000 0.000 0.675
Ta2 Ta 0.000 0.500 0.175
Ta3 Ta 0.500 0.000 0.175
Ta4 Ta 0.500 0.500 0.675

=====

[4]
# GGA-PBE SrBiPb2O4, relaxed
# **ΔE_f (raw)**: -1.3032 eV/atom
data_SrBiPb2O4
_chemical_formula_sum 'Sr2 Bi2 Pb4 O8'
_symmetry_space_group_name_H-M 'P 1'
_symmetry_Int_Tables_number 1
_cell_length_a 6.952
_cell_length_b 6.952
_cell_length_c 13.843
_cell_angle_alpha 90.00
_cell_angle_beta 90.00
_cell_angle_gamma 151.04
loop_
_symmetry_equiv_pos_as_xyz
'x,y,z'
loop_
_atom_site_label
_atom_site_type_symbol
_atom_site_fract_x
_atom_site_fract_y
_atom_site_fract_z
Sr1 Sr 0.038 0.962 0.750
Sr2 Sr 0.962 0.038 0.250
Bi1 Bi 0.228 0.772 0.250
Bi2 Bi 0.772 0.228 0.750
Pb1 Pb 0.372 0.628 0.509
Pb2 Pb 0.372 0.628 0.991
Pb3 Pb 0.628 0.372 0.009
Pb4 Pb 0.628 0.372 0.491
O1 O 0.000 0.000 0.000
O2 O 0.000 0.000 0.500
O3 O 0.361 0.639 0.151
O4 O 0.361 0.639 0.349
O5 O 0.397 0.603 0.750
O6 O 0.603 0.397 0.250
O7 O 0.639 0.361 0.651
O8 O 0.639 0.361 0.849

=====

[5]
A relaxed NaGa2SnPt crystal, computed with GGA-PBE.

Geometry as CIF:
```
data_NaGa2SnPt
_chemical_formula_sum 'Na1 Ga2 Sn1 Pt1'
_symmetry_space_group_name_H-M 'P 1'
_symmetry_Int_Tables_number 1
_cell_length_a 5.360
_cell_length_b 5.360
_cell_length_c 5.096
_cell_angle_alpha 90.00
_cell_angle_beta 90.00
_cell_angle_gamma 90.00
loop_
_symmetry_equiv_pos_as_xyz
'x,y,z'
loop_
_atom_site_label
_atom_site_type_symbol
_atom_site_fract_x
_atom_site_fract_y
_atom_site_fract_z
Na1 Na 0.000 0.000 0.000
Ga1 Ga 0.000 0.500 0.500
Ga2 Ga 0.500 0.000 0.500
Sn1 Sn 0.500 0.500 0.500
Pt1 Pt 0.500 0.500 0.000
```

=====

[6]
# GGA-PBE CdCu4, relaxed
# **ΔE to the lowest computed polymorph**: 0.2284 eV per atom
data_CdCu4
_chemical_formula_sum 'Cd1 Cu4'
_symmetry_space_group_name_H-M 'P 1'
_symmetry_Int_Tables_number 1
_cell_length_a 2.679
_cell_length_b 2.679
_cell_length_c 11.732
_cell_angle_alpha 90.00
_cell_angle_beta 90.00
_cell_angle_gamma 120.00
loop_
_symmetry_equiv_pos_as_xyz
'x,y,z'
loop_
_atom_site_label
_atom_site_type_symbol
_atom_site_fract_x
_atom_site_fract_y
_atom_site_fract_z
Cd1 Cd 0.000 0.000 0.000
Cu1 Cu 0.333 0.667 0.210
Cu2 Cu 0.333 0.667 0.414
Cu3 Cu 0.667 0.333 0.586
Cu4 Cu 0.667 0.333 0.790

=====

[7]
A relaxed YHoMgCd crystal, computed with GGA-PBE.

Geometry as CIF:
```
data_YHoMgCd
_chemical_formula_sum 'Y4 Ho4 Mg4 Cd4'
_symmetry_space_group_name_H-M 'P 1'
_symmetry_Int_Tables_number 1
_cell_length_a 7.519
_cell_length_b 7.519
_cell_length_c 7.519
_cell_angle_alpha 90.00
_cell_angle_beta 90.00
_cell_angle_gamma 90.00
loop_
_symmetry_equiv_pos_as_xyz
'x,y,z'
loop_
_atom_site_label
_atom_site_type_symbol
_atom_site_fract_x
_atom_site_fract_y
_atom_site_fract_z
Y1 Y 0.000 0.000 0.000
Y2 Y 0.000 0.500 0.500
Y3 Y 0.500 0.000 0.500
Y4 Y 0.500 0.500 0.000
Ho1 Ho 0.000 0.000 0.500
Ho2 Ho 0.000 0.500 0.000
Ho3 Ho 0.500 0.000 0.000
Ho4 Ho 0.500 0.500 0.500
Mg1 Mg 0.250 0.250 0.750
Mg2 Mg 0.250 0.750 0.250
Mg3 Mg 0.750 0.250 0.250
Mg4 Mg 0.750 0.750 0.750
Cd1 Cd 0.250 0.250 0.250
Cd2 Cd 0.250 0.750 0.750
Cd3 Cd 0.750 0.250 0.750
Cd4 Cd 0.750 0.750 0.250
```

=====

[8]
# GGA-PBE Zr4W, relaxed
# **ΔE to the lowest computed polymorph**: 0.0000 eV per atom
data_Zr4W
_chemical_formula_sum 'Zr8 W2'
_symmetry_space_group_name_H-M 'P 1'
_symmetry_Int_Tables_number 1
_cell_length_a 6.507
_cell_length_b 6.507
_cell_length_c 5.136
_cell_angle_alpha 90.00
_cell_angle_beta 90.00
_cell_angle_gamma 90.00
loop_
_symmetry_equiv_pos_as_xyz
'x,y,z'
loop_
_atom_site_label
_atom_site_type_symbol
_atom_site_fract_x
_atom_site_fract_y
_atom_site_fract_z
Zr1 Zr 0.132 0.314 0.000
Zr2 Zr 0.186 0.632 0.500
Zr3 Zr 0.314 0.868 0.000
Zr4 Zr 0.368 0.186 0.500
Zr5 Zr 0.632 0.814 0.500
Zr6 Zr 0.686 0.132 0.000
Zr7 Zr 0.814 0.368 0.500
Zr8 Zr 0.868 0.686 0.000
W1 W 0.000 0.000 0.500
W2 W 0.500 0.500 0.000

=====

[9]
# GGA-PBE LaDy2Au, relaxed
# **ΔE to the lowest computed polymorph**: 0.1394 eV per atom
data_LaDy2Au
_chemical_formula_sum 'La3 Dy6 Au3'
_symmetry_space_group_name_H-M 'P 1'
_symmetry_Int_Tables_number 1
_cell_length_a 3.811
_cell_length_b 3.811
_cell_length_c 29.770
_cell_angle_alpha 90.00
_cell_angle_beta 90.00
_cell_angle_gamma 120.00
loop_
_symmetry_equiv_pos_as_xyz
'x,y,z'
loop_
_atom_site_label
_atom_site_type_symbol
_atom_site_fract_x
_atom_site_fract_y
_atom_site_fract_z
La1 La 0.000 0.000 0.000
La2 La 0.333 0.667 0.667
La3 La 0.667 0.333 0.333
Dy1 Dy 0.000 0.000 0.564
Dy2 Dy 0.000 0.000 0.765
Dy3 Dy 0.333 0.667 0.231
Dy4 Dy 0.333 0.667 0.432
Dy5 Dy 0.667 0.333 0.099
Dy6 Dy 0.667 0.333 0.897
Au1 Au 0.000 0.000 0.164
Au2 Au 0.333 0.667 0.831
Au3 Au 0.667 0.333 0.497

=====

[10]
A relaxed ZnCdRh2 crystal, computed with GGA-PBE.

Geometry as CIF:
```
data_ZnCdRh2
_chemical_formula_sum 'Zn2 Cd2 Rh4'
_symmetry_space_group_name_H-M 'P 1'
_symmetry_Int_Tables_number 1
_cell_length_a 8.865
_cell_length_b 2.880
_cell_length_c 4.978
_cell_angle_alpha 90.00
_cell_angle_beta 101.98
_cell_angle_gamma 90.00
loop_
_symmetry_equiv_pos_as_xyz
'x,y,z'
loop_
_atom_site_label
_atom_site_type_symbol
_atom_site_fract_x
_atom_site_fract_y
_atom_site_fract_z
Zn1 Zn 0.000 0.000 0.000
Zn2 Zn 0.500 0.500 0.000
Cd1 Cd 0.000 0.500 0.500
Cd2 Cd 0.500 0.000 0.500
Rh1 Rh 0.242 0.500 0.229
Rh2 Rh 0.258 0.000 0.771
Rh3 Rh 0.742 0.000 0.229
Rh4 Rh 0.758 0.500 0.771
```

=====

[11]
# GGA-PBE SrSi3Ni, relaxed
# **ΔE_f (raw)**: 0.0903 eV/atom
data_SrSi3Ni
_chemical_formula_sum 'Sr1 Si3 Ni1'
_symmetry_space_group_name_H-M 'P 1'
_symmetry_Int_Tables_number 1
_cell_length_a 4.616
_cell_length_b 4.616
_cell_length_c 4.616
_cell_angle_alpha 90.00
_cell_angle_beta 90.00
_cell_angle_gamma 90.00
loop_
_symmetry_equiv_pos_as_xyz
'x,y,z'
loop_
_atom_site_label
_atom_site_type_symbol
_atom_site_fract_x
_atom_site_fract_y
_atom_site_fract_z
Sr1 Sr 0.000 0.000 0.000
Si1 Si 0.000 0.500 0.500
Si2 Si 0.500 0.000 0.500
Si3 Si 0.500 0.500 0.000
Ni1 Ni 0.500 0.500 0.500

=====

Number 1: VASP energy -6.1785 eV per atom. Number 2: VASP energy -6.3532 eV per atom. Number 3: VASP energy -4.0989 eV per atom. Number 4: VASP energy -5.4047 eV per atom. Number 5: VASP energy -3.1708 eV per atom. Number 6: VASP energy -3.1736 eV per atom. Number 7: VASP energy -3.6022 eV per atom. Number 8: VASP energy -9.2421 eV per atom. Number 9: VASP energy -4.6385 eV per atom. Number 10: VASP energy -4.3469 eV per atom. Number 11: VASP energy -4.6562 eV per atom.